Dy3RuAu (PBE-GGA, optimized geometry); calculated volume = 242 Å³/cell; energy relative to the elements = -542 meV per atom; energy relative to the lowest polymorph listed for this composition = 0.00 eV per formula unit; theoretical density = 10.783 Mg/m³
1.0
3.2146 -7.6423 0.0000
3.2146 7.6423 0.0000
-2.5210 0.0000 4.9239
Dy Ru Au
6 2 2
direct
0.1888 0.8112 0.0000
0.2012 0.4186 0.6433
0.4186 0.2012 0.6433
0.5814 0.7988 0.3567
0.7988 0.5814 0.3567
0.8112 0.1888 0.0000
0.2493 0.7507 0.5000
0.7507 0.2493 0.5000
0.2421 0.2421 0.0969
0.7579 0.7579 0.9031